A plane-wave DFT calculation with GGA-PBE was carried out for a geometry-optimized RbSb2Mo structure.

Cell: 8.9970 8.9970 8.9970 Å, 135.43 135.43 64.87°
Element x y z (fractional)
1 Rb 0.3750 0.6250 0.7500
2 Rb 0.6250 0.3750 0.2500
3 Sb 0.0000 0.0000 0.0000
4 Sb 0.0000 0.0000 0.5000
5 Sb 0.0000 0.5000 0.0000
6 Sb 0.5000 0.0000 0.5000
7 Mo 0.1250 0.8750 0.2500
8 Mo 0.8750 0.1250 0.7500

Values from the calculation:
Its total energy is -4.807 eV/atom. The calculation puts the uncorrected formation energy at 0.204 eV/atom. The value obtained for the total magnetization is 0.0 μB per formula unit. For the offset from the most stable computed form, the calculation gives 0.00 eV per formula unit.



A plane-wave DFT calculation with GGA-PBE was carried out for a geometry-optimized HoPdAu structure.

Cell: 5.1944 5.1944 5.1944 Å, 138.71 138.71 59.82°
Element x y z (fractional)
1 Ho 0.0000 0.0000 0.0000
2 Pd 0.3395 0.3395 0.0000
3 Au 0.6686 0.6686 0.0000

Values from the calculation:
Its total energy is -5.214 eV/atom. The value obtained for the total magnetization is 0.0 μB per formula unit. For the offset from the most stable computed form, the calculation gives 0.00 eV per formula unit.



A plane-wave DFT calculation with GGA-PBE was carried out for a geometry-optimized Te3IrS structure.

Cell: 5.2203 5.2203 5.2203 Å, 90.00 90.00 90.00°
Element x y z (fractional)
1 Te 0.0000 0.0000 0.5000
2 Te 0.0000 0.5000 0.0000
3 Te 0.5000 0.0000 0.0000
4 Ir 0.0000 0.0000 0.0000
5 S 0.5000 0.5000 0.5000

Values from the calculation:
Its total energy is -3.736 eV/atom. The calculation puts the uncorrected formation energy at 0.747 eV/atom. The value obtained for the total magnetization is 0.0 μB per formula unit. For the offset from the most stable computed form, the calculation gives 0.00 eV per formula unit.



A plane-wave DFT calculation with GGA-PBE was carried out for a geometry-optimized TiGa3B structure.

Cell: 4.9720 4.9720 4.9720 Å, 90.00 90.00 90.00°
Element x y z (fractional)
1 Ti 0.0000 0.0000 0.0000
2 Ga 0.0000 0.0000 0.5000
3 Ga 0.0000 0.5000 0.0000
4 Ga 0.5000 0.0000 0.0000
5 B 0.5000 0.5000 0.5000

Values from the calculation:
Its total energy is -3.399 eV/atom. The value obtained for the total magnetization is 0.5 μB per formula unit. For the offset from the most stable computed form, the calculation gives 4.03 eV per formula unit.



A plane-wave DFT calculation with GGA-PBE was carried out for a geometry-optimized Pm3OsBr2 structure.

Cell: 8.2079 8.2079 8.2079 Å, 151.18 138.31 51.47°
Element x y z (fractional)
1 Pm 0.0000 0.0000 0.0000
2 Pm 0.3747 0.3747 0.0000
3 Pm 0.6253 0.6253 0.0000
4 Os 0.5000 0.0000 0.5000
5 Br 0.1871 0.6871 0.5000
6 Br 0.8129 0.3129 0.5000

Values from the calculation:
Its total energy is -5.659 eV/atom. The calculation puts the uncorrected formation energy at -0.855 eV/atom. The value obtained for the total magnetization is 0.0 μB per formula unit.



A plane-wave DFT calculation with GGA-PBE was carried out for a geometry-optimized LiSb3 structure.

Cell: 5.2289 5.2289 3.8970 Å, 90.00 90.00 105.41°
Element x y z (fractional)
1 Li 0.0000 0.0000 0.0000
2 Sb 0.0000 0.5000 0.5000
3 Sb 0.5000 0.0000 0.5000
4 Sb 0.5000 0.5000 0.0000

Values from the calculation:
Its total energy is -3.635 eV/atom. The calculation puts the uncorrected formation energy at -0.065 eV/atom. The value obtained for the total magnetization is 0.0 μB per formula unit. For the offset from the most stable computed form, the calculation gives 0.28 eV per formula unit.